VASP calculation (PBE with a Hubbard U) on crystalline SrCo2F at its relaxed geometry.

Computed properties:
The value obtained for the density is 4140 kg/m3. The calculation puts the density of states at the Fermi level at 0.443 states/eV per atom. The total DFT energy (no corrections) comes out at -3.5758 eV per atom. The calculation puts the magnetic moment at 1.03 μB/atom. The value obtained for the polymorph energy (0 for the lowest one) is 0 meV/atom.

Cell and atoms, written as extended XYZ:
```
8
Lattice="4.461 0.000 0.000 0.000 4.461 0.000 2.230 2.230 9.052" Properties=species:S:1:pos:R:3 pbc="T T T"
Sr 0.000 0.000 0.000
Sr 4.461 2.230 4.526
Co 2.230 1.115 2.263
Co 2.230 3.345 2.263
Co 3.345 4.461 6.789
Co 5.576 4.461 6.789
F 2.230 2.230 0.000
F 2.230 4.461 4.526
```